Record 1
VASP calculation (meta-GGA SCAN) on NbRh at its PBEsol-relaxed geometry.

## Properties
Energy relative to the elements: -0.93 eV/f.u.
D(E_F): 0.790 states/eV/atom

Lattice parameters (Å, degrees): 2.829 2.829 3.852 90.00 90.00 90.00
Positions (direct):
Nb (0.000, 0.000, 0.000)
Rh (0.500, 0.500, 0.500)


Record 2
VASP calculation (meta-GGA SCAN) on LiZrTc2 at its PBEsol-relaxed geometry.

## Properties
Energy relative to the elements: 0.46 eV/f.u.
D(E_F): 1.000 states/eV/atom

Lattice parameters (Å, degrees): 3.210 4.357 4.947 110.01 108.93 90.00
Positions (direct):
Li (0.500, 0.000, 0.000)
Tc (0.251, 0.229, 0.502)
Tc (0.749, 0.771, 0.498)
Zr (0.000, 0.500, 0.000)


Record 3
VASP calculation (meta-GGA SCAN) on Be2SeBr at its PBEsol-relaxed geometry.

## Properties
Formation energy without anion corrections: 1.891 kcal/mol of atoms
D(E_F): 0.175 states/eV/atom

Lattice parameters (Å, degrees): 3.320 3.748 6.630 90.00 90.00 116.29
Positions (direct):
Be (0.000, 0.000, 0.776)
Be (0.000, 0.000, 0.224)
Br (0.500, 0.000, 0.500)
Se (0.500, 0.000, 0.000)


Record 4
VASP calculation (meta-GGA SCAN) on La2Sc at its PBEsol-relaxed geometry.

## Properties
Energy relative to the elements: 0.15 eV/f.u.
D(E_F): 1.015 states/eV/atom

Lattice parameters (Å, degrees): 3.497 4.982 5.985 114.59 106.99 90.00
Positions (direct):
Sc (0.500, 0.500, 0.000)
La (0.831, 0.831, 0.662)
La (0.169, 0.169, 0.338)


Record 5
VASP calculation (meta-GGA SCAN) on Ga3PdRu at its PBEsol-relaxed geometry.

## Properties
Energy relative to the elements: 3.20 eV/f.u.
D(E_F): 0.624 states/eV/atom

Lattice parameters (Å, degrees): 4.596 4.596 4.596 90.00 90.00 90.00
Positions (direct):
Ru (0.500, 0.500, 0.500)
Ga (0.000, 0.500, 0.000)
Ga (0.000, 0.000, 0.500)
Ga (0.500, 0.000, 0.000)
Pd (0.000, 0.000, 0.000)


Record 6
VASP calculation (meta-GGA SCAN) on AcTlHg2 at its PBEsol-relaxed geometry.

## Properties
Energy relative to the elements: -2.14 eV/f.u.
D(E_F): 0.357 states/eV/atom

Lattice parameters (Å, degrees): 5.353 5.353 5.353 60.00 60.00 60.00
Positions (direct):
Ac (0.500, 0.500, 0.500)
Tl (0.000, 0.000, 0.000)
Hg (0.250, 0.250, 0.250)
Hg (0.750, 0.750, 0.750)


Record 7
VASP calculation (meta-GGA SCAN) on CrAg2W at its PBEsol-relaxed geometry.

## Properties
Energy relative to the elements: 3.18 eV/f.u.
D(E_F): 0.957 states/eV/atom

Lattice parameters (Å, degrees): 2.611 2.611 9.300 90.00 90.00 107.84
Positions (direct):
Ag (0.000, 0.000, 0.260)
Ag (0.000, 0.000, 0.740)
Cr (0.500, 0.500, 0.500)
W (0.500, 0.500, 0.000)


Record 8
VASP calculation (meta-GGA SCAN) on GePtCl3 at its PBEsol-relaxed geometry.

## Properties
Formation energy without anion corrections: 9.835 kcal/mol of atoms
D(E_F): 1.642 states/eV/atom

Lattice parameters (Å, degrees): 4.855 4.855 4.855 90.00 90.00 90.00
Positions (direct):
Ge (0.000, 0.000, 0.000)
Pt (0.500, 0.500, 0.500)
Cl (0.000, 0.500, 0.000)
Cl (0.000, 0.000, 0.500)
Cl (0.500, 0.000, 0.000)


Record 9
VASP calculation (meta-GGA SCAN) on HfMg3Bi at its PBEsol-relaxed geometry.

## Properties
Energy relative to the elements: 5.75 eV/f.u.
D(E_F): 1.027 states/eV/atom

Lattice parameters (Å, degrees): 5.436 5.436 5.436 90.00 90.00 90.00
Positions (direct):
Mg (0.000, 0.500, 0.000)
Mg (0.000, 0.000, 0.500)
Mg (0.500, 0.000, 0.000)
Hf (0.000, 0.000, 0.000)
Bi (0.500, 0.500, 0.500)


Record 10
VASP calculation (meta-GGA SCAN) on RbLiS3 at its PBEsol-relaxed geometry.

## Properties
Formation energy without anion corrections: -2.844 kcal/mol of atoms
D(E_F): 0.884 states/eV/atom

Lattice parameters (Å, degrees): 4.666 4.666 4.666 90.00 90.00 90.00
Positions (direct):
S (0.000, 0.500, 0.000)
S (0.000, 0.000, 0.500)
S (0.500, 0.000, 0.000)
Rb (0.500, 0.500, 0.500)
Li (0.000, 0.000, 0.000)


Record 11
VASP calculation (meta-GGA SCAN) on LaBe2As at its PBEsol-relaxed geometry.

## Properties
Energy relative to the elements: -1.27 eV/f.u.
D(E_F): 0.453 states/eV/atom

Lattice parameters (Å, degrees): 4.348 4.348 8.533 104.76 104.76 90.00
Positions (direct):
Be (0.625, 0.375, 0.750)
Be (0.125, 0.375, 0.750)
Be (0.625, 0.875, 0.250)
Be (0.625, 0.375, 0.250)
As (0.500, 0.500, 0.000)
As (0.750, 0.250, 0.500)
La (0.000, 0.000, 0.000)
La (0.250, 0.750, 0.500)


Record 12
VASP calculation (meta-GGA SCAN) on Zn5Cr20Ga4Se40 at its PBEsol-relaxed geometry.

## Properties
Formation energy without anion corrections: -19.623 kcal/mol of atoms
D(E_F): 0.125 states/eV/atom

Lattice parameters (Å, degrees): 10.411 12.749 12.749 80.40 65.90 65.90
Positions (direct):
Zn (0.900, 0.799, 0.400)
Zn (0.301, 0.600, 0.799)
Zn (0.700, 0.400, 0.201)
Zn (0.099, 0.201, 0.600)
Zn (0.750, 0.500, 0.500)
Cr (0.433, 0.346, 0.045)
Cr (0.824, 0.150, 0.450)
Cr (0.233, 0.949, 0.847)
Cr (0.629, 0.750, 0.245)
Cr (0.026, 0.550, 0.649)
Cr (0.725, 0.450, 0.850)
Cr (0.126, 0.245, 0.250)
Cr (0.522, 0.045, 0.654)
Cr (0.920, 0.847, 0.051)
Cr (0.325, 0.649, 0.450)
Cr (0.819, 0.153, 0.949)
Cr (0.221, 0.955, 0.346)
Cr (0.621, 0.755, 0.750)
Cr (0.025, 0.550, 0.150)
Cr (0.424, 0.351, 0.550)
Cr (0.625, 0.250, 0.755)
Cr (0.028, 0.051, 0.153)
Cr (0.425, 0.850, 0.550)
Cr (0.824, 0.654, 0.955)
Cr (0.225, 0.450, 0.351)
Ga (0.349, 0.702, 0.100)
Ga (0.150, 0.298, 0.900)
Ga (0.551, 0.100, 0.298)
Ga (0.949, 0.900, 0.702)
Se (0.395, 0.244, 0.737)
Se (0.796, 0.046, 0.136)
Se (0.193, 0.847, 0.536)
Se (0.595, 0.647, 0.938)
Se (0.995, 0.445, 0.337)
Se (0.668, 0.337, 0.555)
Se (0.068, 0.136, 0.954)
Se (0.467, 0.938, 0.353)
Se (0.868, 0.737, 0.756)
Se (0.271, 0.536, 0.153)
Se (0.758, 0.062, 0.647)
Se (0.159, 0.864, 0.046)
Se (0.561, 0.663, 0.445)
Se (0.960, 0.464, 0.847)
Se (0.361, 0.263, 0.244)
Se (0.576, 0.153, 0.464)
Se (0.977, 0.954, 0.864)
Se (0.376, 0.756, 0.263)
Se (0.777, 0.555, 0.663)
Se (0.180, 0.353, 0.062)
Se (0.857, 0.255, 0.762)
Se (0.261, 0.053, 0.159)
Se (0.656, 0.853, 0.561)
Se (0.058, 0.653, 0.963)
Se (0.457, 0.454, 0.362)
Se (0.580, 0.159, 0.947)
Se (0.979, 0.963, 0.347)
Se (0.382, 0.762, 0.745)
Se (0.782, 0.561, 0.147)
Se (0.181, 0.362, 0.546)
Se (0.491, 0.439, 0.853)
Se (0.888, 0.238, 0.255)
Se (0.288, 0.037, 0.653)
Se (0.686, 0.841, 0.053)
Se (0.089, 0.638, 0.454)
Se (0.674, 0.347, 0.037)
Se (0.071, 0.147, 0.439)
Se (0.473, 0.947, 0.841)
Se (0.874, 0.745, 0.238)
Se (0.273, 0.546, 0.638)


Record 13
VASP calculation (meta-GGA SCAN) on RuRh8 at its PBEsol-relaxed geometry.

## Properties
Energy relative to the elements: -0.02 eV/f.u.
D(E_F): 0.925 states/eV/atom

Lattice parameters (Å, degrees): 3.772 5.968 5.968 84.27 71.58 71.58
Positions (direct):
Rh (0.336, 0.000, 0.328)
Rh (0.664, 0.000, 0.672)
Rh (0.668, 0.332, 0.332)
Rh (0.336, 0.328, 0.000)
Rh (0.000, 0.332, 0.668)
Rh (0.664, 0.672, 0.000)
Rh (0.332, 0.668, 0.668)
Rh (0.000, 0.668, 0.332)
Ru (0.000, 0.000, 0.000)


Record 14
VASP calculation (meta-GGA SCAN) on MgZn2Cd at its PBEsol-relaxed geometry.

## Properties
Energy relative to the elements: -0.09 eV/f.u.
D(E_F): 0.242 states/eV/atom

Lattice parameters (Å, degrees): 4.094 4.091 5.083 114.16 114.19 89.16
Positions (direct):
Zn (0.000, 0.000, 0.000)
Zn (0.250, 0.750, 0.500)
Mg (0.750, 0.250, 0.500)
Cd (0.500, 0.500, 0.000)


Record 15
VASP calculation (meta-GGA SCAN) on LiPaPt2 at its PBEsol-relaxed geometry.

## Properties
Energy relative to the elements: -3.58 eV/f.u.
D(E_F): 0.885 states/eV/atom

Lattice parameters (Å, degrees): 4.679 4.679 4.679 60.00 60.00 60.00
Positions (direct):
Pa (0.000, 0.000, 0.000)
Pt (0.250, 0.250, 0.250)
Pt (0.750, 0.750, 0.750)
Li (0.500, 0.500, 0.500)


Record 16
VASP calculation (meta-GGA SCAN) on NiHgGeRh2 at its PBEsol-relaxed geometry.

## Properties
Energy relative to the elements: 4.82 eV/f.u.
D(E_F): 0.930 states/eV/atom

Lattice parameters (Å, degrees): 4.458 4.458 4.675 90.00 90.00 90.00
Positions (direct):
Ni (0.000, 0.000, 0.000)
Ge (0.500, 0.500, 0.500)
Rh (0.000, 0.500, 0.000)
Rh (0.500, 0.000, 0.000)
Hg (0.000, 0.000, 0.500)


Record 17
VASP calculation (meta-GGA SCAN) on K3Nb2Ag3S8 at its PBEsol-relaxed geometry.

## Properties
Formation energy without anion corrections: -23.083 kcal/mol of atoms
D(E_F): 0.000 states/eV/atom

Lattice parameters (Å, degrees): 5.845 12.447 13.430 64.27 77.43 76.42
Positions (direct):
K (0.392, 0.786, 0.606)
K (0.608, 0.214, 0.394)
K (0.216, 0.286, 0.106)
K (0.000, 0.500, 0.500)
K (0.784, 0.714, 0.894)
K (0.000, 0.000, 0.000)
Nb (0.821, 0.523, 0.220)
Nb (0.179, 0.477, 0.780)
Nb (0.437, 0.023, 0.720)
Nb (0.563, 0.977, 0.280)
Ag (0.688, 0.750, 0.250)
Ag (0.312, 0.250, 0.750)
Ag (0.321, 0.530, 0.212)
Ag (0.063, 0.970, 0.288)
Ag (0.679, 0.470, 0.788)
Ag (0.937, 0.030, 0.712)
S (0.487, 0.441, 0.651)
S (0.920, 0.639, 0.680)
S (0.739, 0.969, 0.603)
S (0.004, 0.692, 0.113)
S (0.996, 0.308, 0.887)
S (0.579, 0.059, 0.849)
S (0.191, 0.192, 0.613)
S (0.513, 0.559, 0.349)
S (0.809, 0.808, 0.387)
S (0.689, 0.469, 0.103)
S (0.311, 0.531, 0.897)
S (0.261, 0.031, 0.397)
S (0.238, 0.861, 0.820)
S (0.080, 0.361, 0.320)
S (0.421, 0.941, 0.151)
S (0.762, 0.139, 0.180)


Record 18
VASP calculation (meta-GGA SCAN) on NaScGaI2 at its PBEsol-relaxed geometry.

## Properties
Formation energy without anion corrections: -10.089 kcal/mol of atoms
D(E_F): 0.656 states/eV/atom

Lattice parameters (Å, degrees): 5.347 5.663 5.663 90.00 90.00 90.00
Positions (direct):
I (0.000, 0.000, 0.500)
I (0.000, 0.500, 0.000)
Sc (0.000, 0.000, 0.000)
Ga (0.500, 0.000, 0.000)
Na (0.500, 0.500, 0.500)


Record 19
VASP calculation (meta-GGA SCAN) on TaHg2RuPb at its PBEsol-relaxed geometry.

## Properties
Energy relative to the elements: 4.71 eV/f.u.
D(E_F): 0.792 states/eV/atom

Lattice parameters (Å, degrees): 4.558 5.356 5.356 90.00 90.00 90.00
Positions (direct):
Pb (0.500, 0.500, 0.500)
Ru (0.500, 0.000, 0.000)
Hg (0.000, 0.000, 0.500)
Hg (0.000, 0.500, 0.000)
Ta (0.000, 0.000, 0.000)


Record 20
VASP calculation (meta-GGA SCAN) on HgTe2Rh at its PBEsol-relaxed geometry.

## Properties
Formation energy without anion corrections: 9.970 kcal/mol of atoms
D(E_F): 0.539 states/eV/atom

Lattice parameters (Å, degrees): 4.335 4.335 4.593 90.00 90.00 90.00
Positions (direct):
Hg (0.500, 0.500, 0.500)
Rh (0.000, 0.000, 0.500)
Te (0.000, 0.500, 0.000)
Te (0.500, 0.000, 0.000)


no.,magnetic moment (μB/f.u.)
1,0.0
2,0.0
3,0.0
4,0.0
5,2.4
6,0.0
7,0.0
8,0.8
9,0.0
10,0.0
11,0.0
12,59.1
13,0.0
14,0.0
15,0.0
16,2.3
17,0.0
18,0.0
19,0.0
20,0.0